Entry 1:
# TlPS2I | the Alexandria database | PBE | relaxed
# - SG = No. 123
# - ΔE to the lowest computed polymorph (meV/atom) = 0
# - E (eV per atom) = -2.72
# - size of the total moment (μB/cell) = 1.62
# - E_form (uncorrected) (kcal/mol of atoms) = 18.35
data_TlPS2I
_chemical_formula_sum 'Tl1 P1 S2 I1'
_cell_length_a 5.222
_cell_length_b 5.222
_cell_length_c 5.337
_cell_angle_alpha 90.00
_cell_angle_beta 90.00
_cell_angle_gamma 90.00
_symmetry_space_group_name_H-M 'P 1'
_symmetry_Int_Tables_number 1
loop_
_symmetry_equiv_pos_as_xyz
'x,y,z'
loop_
_atom_site_label
_atom_site_type_symbol
_atom_site_fract_x
_atom_site_fract_y
_atom_site_fract_z
S1 S 0.500 0.000 0.000
S2 S 0.000 0.500 0.000
P1 P 0.000 0.000 0.500
I1 I 0.000 0.000 0.000
Tl1 Tl 0.500 0.500 0.500

***

Entry 2:
# ReAs2Cl | the Alexandria database | PBE | relaxed
# - SG = No. 123
# - ΔE to the lowest computed polymorph (meV/atom) = 982
# - E (eV per atom) = -4.86
# - size of the total moment (μB/cell) = 1.24
# - E_form (uncorrected) (kcal/mol of atoms) = 23.92
data_ReAs2Cl
_chemical_formula_sum 'Re1 As2 Cl1'
_cell_length_a 4.877
_cell_length_b 3.783
_cell_length_c 3.783
_cell_angle_alpha 90.00
_cell_angle_beta 90.00
_cell_angle_gamma 90.00
_symmetry_space_group_name_H-M 'P 1'
_symmetry_Int_Tables_number 1
loop_
_symmetry_equiv_pos_as_xyz
'x,y,z'
loop_
_atom_site_label
_atom_site_type_symbol
_atom_site_fract_x
_atom_site_fract_y
_atom_site_fract_z
Cl1 Cl 0.500 0.500 0.000
As1 As 0.000 0.500 0.500
As2 As 0.000 0.000 0.000
Re1 Re 0.500 0.000 0.500

***

Entry 3:
# Ho8ZnTe4P3 | the Alexandria database | PBE | relaxed
# - SG = No. 166
# - E (eV per atom) = -5.49
# - size of the total moment (μB/cell) = 0.00
# - E_form (uncorrected) (kcal/mol of atoms) = -30.54
data_Ho8ZnTe4P3
_chemical_formula_sum 'Ho8 Zn1 Te4 P3'
_cell_length_a 8.261
_cell_length_b 8.465
_cell_length_c 8.261
_cell_angle_alpha 119.21
_cell_angle_beta 120.00
_cell_angle_gamma 90.00
_symmetry_space_group_name_H-M 'P 1'
_symmetry_Int_Tables_number 1
loop_
_symmetry_equiv_pos_as_xyz
'x,y,z'
loop_
_atom_site_label
_atom_site_type_symbol
_atom_site_fract_x
_atom_site_fract_y
_atom_site_fract_z
Ho1 Ho 0.265 0.283 0.024
Ho2 Ho 0.264 0.292 0.528
Ho3 Ho 0.241 0.717 0.481
Ho4 Ho 0.759 0.283 0.519
Ho5 Ho 0.241 0.717 0.976
Ho6 Ho 0.759 0.283 0.024
Ho7 Ho 0.735 0.717 0.976
Ho8 Ho 0.736 0.708 0.472
Te1 Te 0.000 0.000 0.000
Te2 Te 0.000 0.000 0.500
Te3 Te 0.500 0.000 0.500
Te4 Te 0.500 0.000 0.000
Zn1 Zn 0.000 0.500 0.000
P1 P 0.500 0.500 0.500
P2 P 0.000 0.500 0.500
P3 P 0.500 0.500 0.000

***

Entry 4:
# Mg2MoRhPb | the Alexandria database | PBE | relaxed
# - SG = No. 123
# - energy relative to the elements (eV/atom) = 0.439
# - E (eV per atom) = -4.58
# - size of the total moment (μB/cell) = 1.90
data_Mg2MoRhPb
_chemical_formula_sum 'Mg2 Mo1 Rh1 Pb1'
_cell_length_a 4.941
_cell_length_b 4.802
_cell_length_c 4.941
_cell_angle_alpha 90.00
_cell_angle_beta 90.00
_cell_angle_gamma 90.00
_symmetry_space_group_name_H-M 'P 1'
_symmetry_Int_Tables_number 1
loop_
_symmetry_equiv_pos_as_xyz
'x,y,z'
loop_
_atom_site_label
_atom_site_type_symbol
_atom_site_fract_x
_atom_site_fract_y
_atom_site_fract_z
Rh1 Rh 0.000 0.000 0.000
Mg1 Mg 0.500 0.000 0.000
Mg2 Mg 0.000 0.000 0.500
Pb1 Pb 0.500 0.500 0.500
Mo1 Mo 0.000 0.500 0.000